A relaxed SrCd2CuAg crystal, computed with PBE.

## Properties
Calculated volume: 25.80 A^3/atom
Space group: P4/mmm (123)
ΔE_f: -0.267 eV per formula unit
Total DFT energy (no corrections): -2.15 eV/atom

a = 5.027 Å, b = 5.027 Å, c = 5.105 Å
α = 90.00°, β = 90.00°, γ = 90.00°
Positions (direct):
Cd: 0.500 0.000 0.000
Sr: 0.500 0.500 0.500
Cu: 0.000 0.000 0.000
Cd: 0.000 0.500 0.000
Ag: 0.000 0.000 0.500

A relaxed SrCdCu2Ag crystal, computed with PBE.

## Properties
Calculated volume: 29.09 A^3/atom
Space group: P4/mmm (123)
ΔE_f: 2.883 eV per formula unit
Total DFT energy (no corrections): -2.15 eV/atom

a = 4.910 Å, b = 6.033 Å, c = 4.910 Å
α = 90.00°, β = 90.00°, γ = 90.00°
Positions (direct):
Sr: 0.000 0.500 0.000
Ag: 0.500 0.500 0.500
Cd: 0.000 0.000 0.000
Cu: 0.000 0.000 0.500
Cu: 0.500 0.000 0.000

A relaxed Sr2CdCuAg crystal, computed with PBE.

## Properties
Calculated volume: 33.34 A^3/atom
Space group: P4/mmm (123)
ΔE_f: -0.027 eV per formula unit
Total DFT energy (no corrections): -2.25 eV/atom

a = 5.804 Å, b = 4.948 Å, c = 5.804 Å
α = 90.00°, β = 90.00°, γ = 90.00°
Positions (direct):
Cu: 0.000 0.000 0.000
Ag: 0.500 0.500 0.500
Sr: 0.000 0.000 0.500
Sr: 0.500 0.000 0.000
Cd: 0.000 0.500 0.000

A relaxed Ta2CdCuAg crystal, computed with PBE.

## Properties
Calculated volume: 22.64 A^3/atom
Space group: P4/mmm (123)
ΔE_f: 8.172 eV per formula unit
Total DFT energy (no corrections): -4.68 eV/atom

a = 4.945 Å, b = 4.630 Å, c = 4.945 Å
α = 90.00°, β = 90.00°, γ = 90.00°
Positions (direct):
Cd: 0.500 0.500 0.500
Ta: 0.000 0.000 0.500
Cu: 0.000 0.500 0.000
Ta: 0.500 0.000 0.000
Ag: 0.000 0.000 0.000

A relaxed TbCdCuAg crystal, computed with PBE.

## Properties
Calculated volume: 20.23 A^3/atom
Space group: F-43m (216)
ΔE_f: -0.843 eV per formula unit
Total DFT energy (no corrections): -3.33 eV/atom

a = 4.855 Å, b = 4.855 Å, c = 4.855 Å
α = 60.00°, β = 60.00°, γ = 60.00°
Positions (direct):
Tb: 0.250 0.250 0.250
Cu: 0.000 0.000 0.000
Cd: 0.750 0.750 0.750
Ag: 0.500 0.500 0.500

A relaxed ThCdCuAg crystal, computed with PBE.

## Properties
Calculated volume: 21.55 A^3/atom
Space group: F-43m (216)
ΔE_f: -0.494 eV per formula unit
Total DFT energy (no corrections): -3.94 eV/atom

a = 4.958 Å, b = 4.958 Å, c = 4.958 Å
α = 60.00°, β = 60.00°, γ = 60.00°
Positions (direct):
Cd: 0.750 0.750 0.750
Th: 0.250 0.250 0.250
Cu: 0.000 0.000 0.000
Ag: 0.500 0.500 0.500

A relaxed TiCdCuAg2 crystal, computed with PBE.

## Properties
Calculated volume: 24.48 A^3/atom
Space group: P4/mmm (123)
ΔE_f: 4.991 eV per formula unit
Total DFT energy (no corrections): -2.72 eV/atom

a = 5.089 Å, b = 4.725 Å, c = 5.089 Å
α = 90.00°, β = 90.00°, γ = 90.00°
Positions (direct):
Ti: 0.000 0.000 0.000
Cu: 0.000 0.500 0.000
Cd: 0.500 0.500 0.500
Ag: 0.000 0.000 0.500
Ag: 0.500 0.000 0.000

A relaxed TmCdCuAg crystal, computed with PBE.

## Properties
Calculated volume: 19.54 A^3/atom
Space group: F-43m (216)
ΔE_f: -0.839 eV per formula unit
Total DFT energy (no corrections): -3.29 eV/atom

a = 4.799 Å, b = 4.799 Å, c = 4.799 Å
α = 60.00°, β = 60.00°, γ = 60.00°
Positions (direct):
Tm: 0.250 0.250 0.250
Cd: 0.750 0.750 0.750
Cu: 0.000 0.000 0.000
Ag: 0.500 0.500 0.500

A relaxed Tm4CdCuAg2 crystal, computed with PBE.

## Properties
Calculated volume: 22.92 A^3/atom
Space group: R-3m (166)
ΔE_f: -2.424 eV per formula unit
Total DFT energy (no corrections): -3.88 eV/atom

a = 5.064 Å, b = 5.064 Å, c = 8.757 Å
α = 73.19°, β = 73.19°, γ = 60.00°
Positions (direct):
Tm: 0.870 0.870 0.390
Tm: 0.619 0.619 0.143
Tm: 0.130 0.130 0.610
Ag: 0.254 0.254 0.237
Cu: 0.500 0.500 0.500
Cd: 0.000 0.000 0.000
Tm: 0.381 0.381 0.857
Ag: 0.746 0.746 0.763

A relaxed YCdCuAg crystal, computed with PBE.

## Properties
Calculated volume: 20.17 A^3/atom
Space group: F-43m (216)
ΔE_f: -0.869 eV per formula unit
Total DFT energy (no corrections): -3.80 eV/atom

a = 4.850 Å, b = 4.850 Å, c = 4.850 Å
α = 60.00°, β = 60.00°, γ = 60.00°
Positions (direct):
Ag: 0.500 0.500 0.500
Cd: 0.250 0.250 0.250
Cu: 0.000 0.000 0.000
Y: 0.750 0.750 0.750

A relaxed Y4CdCuAg2 crystal, computed with PBE.

## Properties
Calculated volume: 24.06 A^3/atom
Space group: R-3m (166)
ΔE_f: -2.395 eV per formula unit
Total DFT energy (no corrections): -4.87 eV/atom

a = 5.145 Å, b = 5.145 Å, c = 8.906 Å
α = 73.21°, β = 73.21°, γ = 60.00°
Positions (direct):
Y: 0.619 0.619 0.143
Y: 0.381 0.381 0.857
Cu: 0.500 0.500 0.500
Ag: 0.255 0.255 0.236
Y: 0.130 0.130 0.610
Ag: 0.745 0.745 0.764
Cd: 0.000 0.000 0.000
Y: 0.870 0.870 0.390

A relaxed ZrCdCuAg crystal, computed with PBE.

## Properties
Calculated volume: 18.13 A^3/atom
Space group: F-43m (216)
ΔE_f: -0.354 eV per formula unit
Total DFT energy (no corrections): -4.19 eV/atom

a = 4.681 Å, b = 4.681 Å, c = 4.681 Å
α = 60.00°, β = 60.00°, γ = 60.00°
Positions (direct):
Cd: 0.750 0.750 0.750
Ag: 0.500 0.500 0.500
Zr: 0.250 0.250 0.250
Cu: 0.000 0.000 0.000